Here is crystalline VCr2FeC at its relaxed geometry from Alexandria via LeMat-Bulk. Energies are from PBE.

Geometry as POSCAR:
```
VCr2FeC
1.0
-3.9550 1.4416 0.8610
-1.1311 -3.5517 0.7513
1.0891 0.5253 4.1231
Cr C Fe V
2 1 1 1
direct
0.0000 0.0000 0.5000 Cr
0.5000 0.0000 0.0000 Cr
0.0000 0.5000 0.0000 C
0.5000 0.5000 0.5000 Fe
0.0000 0.0000 0.0000 V
```

Calculated values
- total energy (eV per atom) = -7.405
- energy of formation from the pure elements (eV/atom) = 1.81
- V (Å³/cell) = 70
- N(E_F) (states/eV/cell) = 8.6

***

Here is crystalline KHg2Ru at its relaxed geometry from Alexandria via LeMat-Bulk. Energies are from PBE.

Geometry as POSCAR:
```
KHg2Ru
1.0
5.7691 0.0000 0.0000
0.0000 5.7691 0.0000
2.8845 2.8845 8.6445
Ru K Hg
2 2 4
direct
0.0000 0.0000 0.0000 Ru
0.7500 0.2500 0.5000 Ru
0.5000 0.5000 0.0000 K
0.2500 0.7500 0.5000 K
0.7926 0.1250 0.2500 Hg
0.9574 0.6250 0.2500 Hg
0.3750 0.2074 0.7500 Hg
0.8750 0.0426 0.7500 Hg
```

Calculated values
- total energy (eV per atom) = -2.153
- energy of formation from the pure elements (eV/atom) = 0.59
- ΔE to the lowest computed polymorph (eV/f.u.) = 0.840
- V (Å³/cell) = 288
- N(E_F) (states/eV/cell) = 6.4

***

Here is crystalline YZn2OsRh at its relaxed geometry from Alexandria via LeMat-Bulk. Energies are from PBE.

Geometry as POSCAR:
```
YZn2OsRh
1.0
4.7508 0.0000 0.0000
0.0000 4.7508 0.0000
0.0000 0.0000 5.0862
Y Rh Zn Os
1 1 2 1
direct
0.0000 0.0000 0.5000 Y
0.5000 0.5000 0.5000 Rh
0.0000 0.5000 0.0000 Zn
0.5000 0.0000 0.0000 Zn
0.0000 0.0000 0.0000 Os
```

Calculated values
- total energy (eV per atom) = -4.822
- energy of formation from the pure elements (eV/atom) = 0.70
- V (Å³/cell) = 115
- N(E_F) (states/eV/cell) = 5.6

***

Here is crystalline VHgN2 at its relaxed geometry from Alexandria via LeMat-Bulk. Energies are from PBE.

Geometry as POSCAR:
```
VHgN2
1.0
5.2713 0.0000 0.0000
0.0000 5.2713 0.0000
2.6356 2.6356 4.3407
V Hg N
2 2 4
direct
0.5000 0.5000 0.0000 V
0.2500 0.7500 0.5000 V
0.0000 0.0000 0.0000 Hg
0.7500 0.2500 0.5000 Hg
0.4990 0.1250 0.2500 N
0.2510 0.6250 0.2500 N
0.3750 0.5010 0.7500 N
0.8750 0.7490 0.7500 N
```

Calculated values
- total energy (eV per atom) = -6.555
- uncorrected formation energy (eV per formula unit) = -0.1
- V (Å³/cell) = 121
- N(E_F) (states/eV/cell) = 4.5

***

Here is crystalline Na2PmHf2Te6 at its relaxed geometry from Alexandria via LeMat-Bulk. Energies are from PBE.

Geometry as POSCAR:
```
Na2PmHf2Te6
1.0
-6.7867 2.3679 -1.2763
1.3718 -4.4450 5.6264
3.0292 6.8104 3.1415
Na Pm Hf Te
2 1 2 6
direct
0.8436 0.1564 0.0000 Na
0.1564 0.8436 0.0000 Na
0.0000 0.0000 0.5000 Pm
0.3322 0.6678 0.5000 Hf
0.6678 0.3322 0.5000 Hf
0.7116 0.7116 0.7253 Te
0.0729 0.4276 0.7266 Te
0.2884 0.2884 0.2747 Te
0.4276 0.0729 0.7266 Te
0.9271 0.5724 0.2734 Te
0.5724 0.9271 0.2734 Te
```

Calculated values
- total energy (eV per atom) = -5.189
- uncorrected formation energy (eV per formula unit) = -10.9
- V (Å³/cell) = 356
- N(E_F) (states/eV/cell) = 5.1

***

Here is crystalline CsAg3Se2 at its relaxed geometry from Alexandria via LeMat-Bulk. Energies are from PBE.

Geometry as POSCAR:
```
CsAg3Se2
1.0
-2.9947 -3.1195 -1.1798
6.0734 -0.2306 -6.2783
2.4448 -5.1455 7.3837
Cs Se Ag
2 4 6
direct
0.8627 0.7259 0.9523 Cs
0.1373 0.2741 0.0477 Cs
0.4789 0.9569 0.7715 Se
0.5211 0.0431 0.2285 Se
0.8062 0.6118 0.3145 Se
0.1938 0.3882 0.6855 Se
0.3117 0.6232 0.5639 Ag
0.9426 0.8842 0.5963 Ag
0.5892 0.1798 0.6367 Ag
0.4108 0.8202 0.3633 Ag
0.0574 0.1158 0.4037 Ag
0.6883 0.3768 0.4361 Ag
```

Calculated values
- total energy (eV per atom) = -3.163
- uncorrected formation energy (eV per formula unit) = -2.6
- V (Å³/cell) = 326
- N(E_F) (states/eV/cell) = 0.7

***

Here is crystalline Sc8GeAs5 at its relaxed geometry from Alexandria via LeMat-Bulk. Energies are from PBE.

Geometry as POSCAR:
```
Sc8GeAs5
1.0
-6.4511 2.8235 -0.8902
-0.4747 -5.6839 4.2249
4.3067 4.7958 2.9721
Sc Ge As
8 1 5
direct
0.1243 0.7505 0.0147 Sc
0.9853 0.1096 0.7358 Sc
0.7658 0.2516 0.3762 Sc
0.6238 0.3896 0.8754 Sc
0.4858 0.6104 0.2342 Sc
0.6262 0.8904 0.8757 Sc
0.2642 0.2495 0.3738 Sc
0.1246 0.7484 0.5142 Sc
0.2500 0.5000 0.7500 Ge
0.9997 0.3751 0.1245 As
0.8755 0.8752 0.2506 As
0.7494 0.6249 0.6246 As
0.5000 0.0000 0.5000 As
0.3754 0.1248 0.0003 As
```

Calculated values
- total energy (eV per atom) = -6.754
- energy of formation from the pure elements (eV/atom) = -1.15
- V (Å³/cell) = 275
- N(E_F) (states/eV/cell) = 16.5

***

Here is crystalline TcSe3S at its relaxed geometry from Alexandria via LeMat-Bulk. Energies are from PBE.

Geometry as POSCAR:
```
TcSe3S
1.0
4.8333 0.0000 0.0000
0.0000 4.8333 0.0000
0.0000 0.0000 4.8333
S Tc Se
1 1 3
direct
0.5000 0.5000 0.5000 S
0.0000 0.0000 0.0000 Tc
0.0000 0.5000 0.0000 Se
0.0000 0.0000 0.5000 Se
0.5000 0.0000 0.0000 Se
```

Calculated values
- total energy (eV per atom) = -4.386
- uncorrected formation energy (eV per formula unit) = 3.0
- ΔE to the lowest computed polymorph (eV/f.u.) = 0.000
- V (Å³/cell) = 113
- N(E_F) (states/eV/cell) = 6.9

***

Here is crystalline K2ZnF at its relaxed geometry from Alexandria via LeMat-Bulk. Energies are from PBE.

Geometry as POSCAR:
```
K2ZnF
1.0
6.5851 0.0000 0.0112
0.0000 4.0019 0.0000
-4.1950 0.0000 17.0997
Zn K F
4 8 4
direct
0.8835 0.0000 0.2375 Zn
0.1165 0.0000 0.7625 Zn
0.8835 0.5000 0.7375 Zn
0.1165 0.5000 0.2625 Zn
0.6706 0.0000 0.8696 K
0.3294 0.0000 0.1304 K
0.6706 0.5000 0.3696 K
0.3294 0.5000 0.6304 K
0.2121 0.0000 0.4422 K
0.7879 0.0000 0.5578 K
0.2121 0.5000 0.9422 K
0.7879 0.5000 0.0578 K
0.5000 0.5000 0.5000 F
0.5000 0.0000 0.0000 F
0.0000 0.0000 0.0000 F
0.0000 0.5000 0.5000 F
```

Calculated values
- total energy (eV per atom) = -2.580
- uncorrected formation energy (eV per formula unit) = -5.0
- ΔE to the lowest computed polymorph (eV/f.u.) = 0.097
- V (Å³/cell) = 451
- N(E_F) (states/eV/cell) = 6.0

***

Here is crystalline CePd3Au at its relaxed geometry from Alexandria via LeMat-Bulk. Energies are from PBE.

Geometry as POSCAR:
```
CePd3Au
1.0
4.9892 0.0000 0.0000
0.0000 5.1349 0.0000
0.0000 2.5675 8.5803
Ce Pd Au
2 6 2
direct
0.7500 0.4116 0.1768 Ce
0.2500 0.5884 0.8232 Ce
0.7500 0.5423 0.4276 Pd
0.7500 0.0301 0.4276 Pd
0.2500 0.9699 0.5724 Pd
0.2500 0.4577 0.5724 Pd
0.0000 0.0000 0.0000 Pd
0.5000 0.0000 0.0000 Pd
0.7500 0.1415 0.7169 Au
0.2500 0.8585 0.2831 Au
```

Calculated values
- total energy (eV per atom) = -5.192
- energy of formation from the pure elements (eV/atom) = -0.23
- ΔE to the lowest computed polymorph (eV/f.u.) = 1.424
- V (Å³/cell) = 220
- N(E_F) (states/eV/cell) = 11.8

***

Here is crystalline TbPrSm5 at its relaxed geometry from Alexandria via LeMat-Bulk. Energies are from PBE.

Geometry as POSCAR:
```
TbPrSm5
1.0
2.2697 5.6772 3.2187
-0.2945 0.4258 6.8901
11.8426 -0.7606 7.1835
Tb Pr Sm
2 2 10
direct
0.7244 0.2756 0.7500 Tb
0.2756 0.7244 0.2500 Tb
0.0000 0.0000 0.0000 Pr
0.0000 0.0000 0.5000 Pr
0.1667 0.3954 0.7496 Sm
0.6556 0.6910 0.4997 Sm
0.3954 0.1667 0.2496 Sm
0.1690 0.8310 0.7500 Sm
0.3090 0.3444 0.0003 Sm
0.6910 0.6556 0.9997 Sm
0.8310 0.1690 0.2500 Sm
0.6046 0.8333 0.7504 Sm
0.3444 0.3090 0.5003 Sm
0.8333 0.6046 0.2504 Sm
```

Calculated values
- total energy (eV per atom) = -4.545
- energy of formation from the pure elements (eV/atom) = 0.17
- ΔE to the lowest computed polymorph (eV/f.u.) = 0.000
- V (Å³/cell) = 479
- N(E_F) (states/eV/cell) = 19.3

***

Here is crystalline Eu2Mg4Cu at its relaxed geometry from Alexandria via LeMat-Bulk. Energies are from PBE.

Geometry as POSCAR:
```
Eu2Mg4Cu
1.0
4.9588 0.0000 0.0000
0.0000 4.9588 0.0000
2.4794 2.4794 8.6305
Eu Mg Cu
2 4 1
direct
0.6584 0.6584 0.6833 Eu
0.3416 0.3416 0.3167 Eu
0.8563 0.8563 0.2873 Mg
0.1437 0.1437 0.7127 Mg
0.0000 0.5000 0.0000 Mg
0.5000 0.0000 0.0000 Mg
0.0000 0.0000 0.0000 Cu
```

Calculated values
- total energy (eV per atom) = -4.349
- energy of formation from the pure elements (eV/atom) = 0.08
- V (Å³/cell) = 212
- N(E_F) (states/eV/cell) = 22.0